# 1
LiErGe2O6 | GGA-PBE | relaxed

## Properties
The value obtained for the energy is -6.8096 eV/atom. The density of states at the Fermi level comes out at 0.0 states/eV per cell. The value obtained for the uncorrected formation energy is -2184 kJ/mol of formula units.

Cell: 5.684 7.041 7.041 Å, 86.53 75.69 75.69°
Element x y z (fractional)
Li1 0.250 0.231 0.769
Li2 0.750 0.769 0.231
Er1 0.250 0.888 0.112
Er2 0.750 0.112 0.888
Ge1 0.283 0.781 0.611
Ge2 0.217 0.389 0.219
Ge3 0.717 0.219 0.389
Ge4 0.783 0.611 0.781
O1 0.159 0.960 0.802
O2 0.341 0.198 0.040
O3 0.841 0.040 0.198
O4 0.659 0.802 0.960
O5 0.390 0.864 0.376
O6 0.110 0.624 0.136
O7 0.610 0.136 0.624
O8 0.890 0.376 0.864
O9 0.025 0.682 0.598
O10 0.475 0.402 0.318
O11 0.975 0.318 0.402
O12 0.525 0.598 0.682

---

# 2
GaAs3Ir | GGA-PBE | relaxed

## Properties
The value obtained for the energy is -3.9363 eV/atom. The density of states at the Fermi level comes out at 4.2 states/eV per cell. The calculation puts the excess energy over the best structure of this formula in the dataset at 3.20 eV/f.u. Its formation energy is 119 kJ per mole of atoms.

Cell: 4.724 4.724 4.724 Å, 90.00 90.00 90.00°
Element x y z (fractional)
As1 0.000 0.500 0.000
As2 0.000 0.000 0.500
As3 0.500 0.000 0.000
Ir1 0.500 0.500 0.500
Ga1 0.000 0.000 0.000

---

# 3
Rb4Tl5Pd3 | GGA-PBE | relaxed

## Properties
The value obtained for the energy is -2.7009 eV/atom. The density of states at the Fermi level comes out at 6.3 states/eV per cell. Its formation energy is -9 kJ per mole of atoms.

Cell: 6.627 9.591 9.293 Å, 112.64 79.60 134.50°
Element x y z (fractional)
Rb1 0.661 0.795 0.095
Rb2 0.769 0.560 0.630
Rb3 0.231 0.440 0.370
Rb4 0.339 0.205 0.905
Tl1 0.534 0.897 0.770
Tl2 0.000 0.000 0.500
Tl3 0.988 0.644 0.260
Tl4 0.012 0.356 0.740
Tl5 0.466 0.103 0.230
Pd1 0.873 0.296 0.029
Pd2 0.500 0.000 0.500
Pd3 0.127 0.704 0.971